# 1
## Cr2InSi (PBE)

Data for a relaxed structure of Cr2InSi.

## Properties
Uncorrected formation energy: 0.19 eV/atom
Symmetry: P4mm

The structure in extended XYZ format:
```
4
Lattice="3.032 0.000 0.000 0.000 3.037 0.002 0.000 3.034 6.375" Properties=species:S:1:pos:R:3 pbc="T T T"
Cr 0.000 3.034 6.344
Cr 1.516 1.517 1.299
In 0.000 3.035 3.091
Si 1.516 4.553 5.205
```


# 2
## CrInSi2 (PBE)

Data for a relaxed structure of CrInSi2.

## Properties
Uncorrected formation energy: 0.29 eV/atom
Symmetry: P4mm

The structure in extended XYZ format:
```
4
Lattice="3.191 0.000 0.000 0.000 3.191 0.000 0.000 0.000 6.260" Properties=species:S:1:pos:R:3 pbc="T T T"
Cr 0.000 0.000 2.662
In 1.595 1.595 4.613
Si 0.000 0.000 0.353
Si 1.595 1.595 1.761
```


# 3
## CrIn3Si (PBE)

Data for a relaxed structure of CrIn3Si.

## Properties
Uncorrected formation energy: 0.83 eV/atom
Symmetry: Pm-3m

The structure in extended XYZ format:
```
5
Lattice="-0.652 -3.899 3.305 4.273 1.412 2.509 -2.804 3.058 3.055" Properties=species:S:1:pos:R:3 pbc="T T T"
Cr 0.000 0.000 0.000
Si 0.408 0.286 4.434
In 2.137 0.706 1.255
In -1.402 1.529 1.527
In -0.326 -1.949 1.652
```